First-principles (PBE+U) data for a geometry-optimized Rb2LaCoO4 structure, as listed in Alexandria via LeMat-Bulk.

Computed properties:
* M_tot: 4.0 μB per formula unit
* DFT total energy: -93.2 eV for the cell shown
* V: 20.15 A^3/atom

a b c (Å): 6.251 6.251 8.251
angles (deg): 90.00 90.00 90.00
Space group I-4 (No. 82)
Asymmetric unit:
Rb (0.000, 0.000, 0.000) x2
Rb (0.000, 0.500, 0.250) x2
La (0.000, 0.500, 0.750) x2
Co (0.000, 0.000, 0.500) x2
O (0.145, 0.775, 0.606) x8